# 1
Material: LiMgPd2
Method: DFT, PBE
State: optimized geometry

Summary:
Uncorrected energy = -3.7820 eV/atom
Fermi-level density of states = 3.03 states/eV per cell

a = 6.8395 Å, b = 6.8395 Å, c = 5.5612 Å
α = 52.05°, β = 52.05°, γ = 90.00°
With the nearest neighbours (Å) after each atom.
Positions (direct):
Mg 0.0000 0.0000 0.0000  4 Pd 2.61, 2 Li 2.75
Mg 0.7500 0.2500 0.5000  4 Pd 2.61, 2 Li 2.75
Pd 0.6055 0.1250 0.2500  2 Li 2.42, 2 Mg 2.61
Pd 0.1445 0.6250 0.2500  2 Li 2.42, 2 Mg 2.61
Pd 0.3750 0.3945 0.7500  2 Li 2.42, 2 Mg 2.61
Pd 0.8750 0.8555 0.7500  2 Li 2.42, 2 Mg 2.61
Li 0.5000 0.5000 0.0000  4 Pd 2.42
Li 0.2500 0.7500 0.5000  4 Pd 2.42



# 2
Material: LiMgPd
Method: DFT, PBE
State: optimized geometry

Summary:
Uncorrected energy = -3.3650 eV/atom
Polymorph energy (0 for the lowest one) = 28.8 meV per atom
Fermi-level density of states = 0.87 states/eV per cell

a = 3.3021 Å, b = 3.3021 Å, c = 4.9850 Å
α = 109.34°, β = 109.34°, γ = 90.00°
With the nearest neighbours (Å) after each atom.
Positions (direct):
Mg 0.2927 0.2927 0.5854  5 Li 2.73-2.87, 5 Pd 2.74-2.97
Pd 0.9550 0.9550 0.9100  4 Li 2.67, 5 Mg 2.74-2.97
Li 0.6023 0.6023 0.2046  4 Pd 2.67, 5 Mg 2.73-2.87



# 3
Material: LiMg6Pd2
Method: DFT, PBE
State: optimized geometry

Summary:
Uncorrected energy = -2.8179 eV/atom
Polymorph energy (0 for the lowest one) = 0.0 meV per atom
Fermi-level density of states = 5.23 states/eV per cell

a = 4.4313 Å, b = 8.5825 Å, c = 8.5885 Å
α = 90.00°, β = 90.00°, γ = 90.00°
With the nearest neighbours (Å) after each atom.
Positions (direct):
Li 0.5000 0.5000 0.0000  8 Mg 2.73
Li 0.0000 0.0000 0.5000  8 Mg 2.73
Mg 0.0000 0.0285 0.1829  1 Li 2.73, 3 Pd 2.83-2.84, 3 Mg 2.95-3.06
Mg 0.0000 0.6828 0.5292  1 Li 2.73, 3 Pd 2.83-2.84, 3 Mg 2.95-3.06
Mg 0.0000 0.6315 0.8691  2 Li 2.73, 4 Pd 2.90-3.02, 3 Mg 2.95-3.06
Mg 0.5000 0.1315 0.6309  2 Li 2.73, 4 Pd 2.90-3.02, 3 Mg 2.95-3.06
Mg 0.5000 0.1828 0.9709  1 Li 2.73, 3 Pd 2.83-2.84, 3 Mg 2.95-3.06
Mg 0.5000 0.5285 0.3171  1 Li 2.73, 3 Pd 2.83-2.84, 3 Mg 2.95-3.06
Mg 0.0000 0.9715 0.8171  1 Li 2.73, 3 Pd 2.83-2.84, 3 Mg 2.95-3.06
Mg 0.0000 0.3172 0.4708  1 Li 2.73, 3 Pd 2.83-2.84, 3 Mg 2.95-3.06
Mg 0.0000 0.3685 0.1309  2 Li 2.73, 4 Pd 2.90-3.02, 3 Mg 2.95-3.06
Mg 0.5000 0.8685 0.3691  2 Li 2.73, 4 Pd 2.90-3.02, 3 Mg 2.95-3.06
Mg 0.5000 0.8172 0.0291  1 Li 2.73, 3 Pd 2.83-2.84, 3 Mg 2.95-3.06
Mg 0.5000 0.4715 0.6829  1 Li 2.73, 3 Pd 2.83-2.84, 3 Mg 2.95-3.06
Pd 0.0000 0.3003 0.7996  10 Mg 2.83-3.02
Pd 0.5000 0.8003 0.7004  10 Mg 2.83-3.02
Pd 0.5000 0.1997 0.2996  10 Mg 2.83-3.02
Pd 0.0000 0.6997 0.2004  10 Mg 2.83-3.02



# 4
Material: LiMg3Pd
Method: DFT, PBE
State: optimized geometry

Summary:
Uncorrected energy = -2.6601 eV/atom
Polymorph energy (0 for the lowest one) = 0.0 meV per atom
Fermi-level density of states = 9.92 states/eV per cell

a = 5.4190 Å, b = 8.7792 Å, c = 8.7792 Å
α = 77.87°, β = 84.50°, γ = 84.50°
With the nearest neighbours (Å) after each atom.
Positions (direct):
Li 0.6243 0.5766 0.8510  7 Mg 2.92-3.15, 1 Pd 2.93, 1 Li 2.94
Li 0.8757 0.1490 0.4234  7 Mg 2.92-3.15, 1 Pd 2.93, 1 Li 2.94
Li 0.3757 0.4234 0.1490  7 Mg 2.92-3.15, 1 Pd 2.93, 1 Li 2.94
Li 0.1243 0.8510 0.5766  7 Mg 2.92-3.15, 1 Pd 2.93, 1 Li 2.94
Mg 0.4900 0.2551 0.8661  3 Pd 2.66-2.68, 1 Li 2.95
Mg 0.0100 0.1339 0.7449  3 Pd 2.66-2.68, 1 Li 2.95
Mg 0.5100 0.7449 0.1339  3 Pd 2.66-2.68, 1 Li 2.95
Mg 0.9900 0.8661 0.2551  3 Pd 2.66-2.68, 1 Li 2.95
Mg 0.0532 0.7430 0.9395  2 Pd 2.76-2.77
Mg 0.4468 0.0605 0.2570  2 Pd 2.76-2.77
Mg 0.9468 0.2570 0.0605  2 Pd 2.76-2.77
Mg 0.5532 0.9395 0.7430  2 Pd 2.76-2.77
Mg 0.3553 0.2967 0.4851  2 Pd 2.70-2.76, 1 Li 2.92, 1 Mg 3.01
Mg 0.1447 0.5149 0.7033  2 Pd 2.70-2.76, 1 Li 2.92, 1 Mg 3.01
Mg 0.6447 0.7033 0.5149  2 Pd 2.70-2.76, 1 Li 2.92, 1 Mg 3.01
Mg 0.8553 0.4851 0.2967  2 Pd 2.70-2.76, 1 Li 2.92, 1 Mg 3.01
Pd 0.2500 0.0038 0.9962  8 Mg 2.66-2.77, 2 Pd 2.71
Pd 0.7500 0.9962 0.0038  8 Mg 2.66-2.77, 2 Pd 2.71
Pd 0.2500 0.6075 0.3925  6 Mg 2.67-2.76, 2 Li 2.93
Pd 0.7500 0.3925 0.6075  6 Mg 2.67-2.76, 2 Li 2.93



# 5
Material: LiMgPd2
Method: DFT, PBE
State: optimized geometry

Summary:
Uncorrected energy = -4.0793 eV/atom
Fermi-level density of states = 0.36 states/eV per cell

a = 3.1014 Å, b = 4.3734 Å, c = 4.3734 Å
α = 90.00°, β = 90.00°, γ = 90.00°
With the nearest neighbours (Å) after each atom.
Positions (direct):
Mg 0.5000 0.0000 0.0000  8 Pd 2.68
Pd 0.0000 0.0000 0.5000  4 Li 2.68, 4 Mg 2.68
Pd 0.0000 0.5000 0.0000  4 Li 2.68, 4 Mg 2.68
Li 0.5000 0.5000 0.5000  8 Pd 2.68



# 6
Material: Li3MgPd2
Method: DFT, PBE
State: optimized geometry

Summary:
Uncorrected energy = -3.3403 eV/atom
Polymorph energy (0 for the lowest one) = 37.6 meV per atom
Fermi-level density of states = 2.88 states/eV per cell

a = 4.1367 Å, b = 8.0845 Å, c = 7.1210 Å
α = 124.59°, β = 106.89°, γ = 90.00°
With the nearest neighbours (Å) after each atom.
Positions (direct):
Li 0.5000 0.2500 0.0000  4 Pd 2.67, 4 Li 2.89, 4 Mg 2.89
Li 0.5000 0.7500 0.0000  4 Pd 2.67, 4 Li 2.89, 4 Mg 2.89
Li 0.8164 0.0664 0.6327  2 Li 2.53, 2 Pd 2.66
Li 0.1836 0.4336 0.3673  2 Li 2.53, 2 Pd 2.66
Li 0.1836 0.9336 0.3673  2 Li 2.53, 2 Pd 2.66
Li 0.8164 0.5664 0.6327  2 Li 2.53, 2 Pd 2.66
Mg 0.0000 0.5000 0.0000  4 Pd 2.71, 8 Li 2.85-2.89
Mg 0.0000 0.0000 0.0000  4 Pd 2.71, 8 Li 2.85-2.89
Pd 0.3407 0.3407 0.6814  8 Li 2.66-2.90, 2 Mg 2.71, 2 Pd 2.87
Pd 0.6593 0.1593 0.3186  8 Li 2.66-2.90, 2 Mg 2.71, 2 Pd 2.87
Pd 0.3407 0.8407 0.6814  8 Li 2.66-2.90, 2 Mg 2.71, 2 Pd 2.87
Pd 0.6593 0.6593 0.3186  8 Li 2.66-2.90, 2 Mg 2.71, 2 Pd 2.87



# 7
Material: Li4Mg9Pd11
Method: DFT, PBE
State: optimized geometry

Summary:
Uncorrected energy = -3.9061 eV/atom
Fermi-level density of states = 7.26 states/eV per cell

a = 2.9888 Å, b = 11.4512 Å, c = 11.4512 Å
α = 104.14°, β = 90.00°, γ = 90.00°
With the nearest neighbours (Å) after each atom.
Positions (direct):
Li 0.5000 0.5751 0.7459  6 Pd 2.63-2.84, 2 Mg 2.74
Li 0.5000 0.4249 0.2541  6 Pd 2.63-2.84, 2 Mg 2.74
Li 0.5000 0.7459 0.5751  6 Pd 2.63-2.84, 2 Mg 2.74
Li 0.5000 0.2541 0.4249  6 Pd 2.63-2.84, 2 Mg 2.74
Mg 0.5000 0.6161 0.1501  1 Li 2.74, 8 Pd 2.75-2.87, 2 Mg 2.99
Mg 0.5000 0.3839 0.8499  1 Li 2.74, 8 Pd 2.75-2.87, 2 Mg 2.99
Mg 0.5000 0.1501 0.6161  1 Li 2.74, 8 Pd 2.75-2.87, 2 Mg 2.99
Mg 0.5000 0.8499 0.3839  1 Li 2.74, 8 Pd 2.75-2.87, 2 Mg 2.99
Mg 0.5000 0.7946 0.9705  8 Pd 2.70-2.75, 2 Mg 2.99
Mg 0.5000 0.2054 0.0295  8 Pd 2.70-2.75, 2 Mg 2.99
Mg 0.5000 0.9705 0.7946  8 Pd 2.70-2.75, 2 Mg 2.99
Mg 0.5000 0.0295 0.2054  8 Pd 2.70-2.75, 2 Mg 2.99
Mg 0.5000 0.5000 0.5000  4 Li 2.74, 4 Pd 2.83, 2 Mg 2.99
Pd 0.0000 0.5932 0.9396  2 Li 2.64, 6 Mg 2.70-2.80, 1 Pd 2.81
Pd 0.0000 0.4068 0.0604  2 Li 2.64, 6 Mg 2.70-2.80, 1 Pd 2.81
Pd 0.0000 0.9396 0.5932  2 Li 2.64, 6 Mg 2.70-2.80, 1 Pd 2.81
Pd 0.0000 0.0604 0.4068  2 Li 2.64, 6 Mg 2.70-2.80, 1 Pd 2.81
Pd 0.0000 0.6329 0.3671  6 Mg 2.83-2.87, 4 Li 2.84, 2 Pd 2.99
Pd 0.0000 0.3671 0.6329  6 Mg 2.83-2.87, 4 Li 2.84, 2 Pd 2.99
Pd 0.0000 0.8229 0.1771  8 Mg 2.75, 2 Pd 2.99
Pd 0.0000 0.1771 0.8229  8 Mg 2.75, 2 Pd 2.99
Pd 0.0000 0.0000 0.0000  8 Mg 2.74, 2 Pd 2.99
Pd 0.0000 0.7684 0.7684  4 Li 2.63, 4 Mg 2.71
Pd 0.0000 0.2316 0.2316  4 Li 2.63, 4 Mg 2.71



# 8
Material: Li6Mg4Pd
Method: DFT, PBE
State: optimized geometry

Summary:
Uncorrected energy = -2.1399 eV/atom
Fermi-level density of states = 4.13 states/eV per cell

a = 10.1728 Å, b = 10.1728 Å, c = 10.1728 Å
α = 39.77°, β = 152.17°, γ = 152.17°
With the nearest neighbours (Å) after each atom.
Positions (direct):
Li 0.0000 0.9430 0.4792  5 Li 2.87-3.21, 4 Mg 3.00-3.01
Li 0.0000 0.4792 0.9430  5 Li 2.87-3.21, 4 Mg 3.00-3.01
Li 0.4639 0.5208 0.5208  5 Li 2.87-3.21, 4 Mg 3.00-3.01
Li 0.5000 0.5000 0.0000  2 Pd 2.45
Li 0.5361 0.0570 0.0570  5 Li 2.87-3.21, 4 Mg 3.00-3.01
Li 0.5000 0.0000 0.5000  2 Pd 2.45
Mg 0.0000 0.6484 0.1103  1 Pd 2.81, 6 Li 2.89-3.01
Mg 0.4619 0.3516 0.3516  1 Pd 2.81, 6 Li 2.89-3.01
Mg 0.0000 0.1103 0.6484  1 Pd 2.81, 6 Li 2.89-3.01
Mg 0.5381 0.8897 0.8897  1 Pd 2.81, 6 Li 2.89-3.01
Pd 0.0000 0.0000 0.0000  4 Li 2.45



Question: Look up the Fermi-level density of states of the fifth one.
Answer: 0.36 states/eV per cell



Question: Fermi-level density of states of number 8 (Li6Mg4Pd)?
Answer: 4.13 states/eV per cell